Record 1
Entry from the Open Quantum Materials Database: a geometry-optimized TbTlFeS3 structure (PBE).

a = 8.879 Å, b = 3.959 Å, c = 9.215 Å
α = 90.00°, β = 107.24°, γ = 90.00°
Atoms (fractional coordinates):
Fe 0.076 0.250 0.092
Fe 0.924 0.750 0.908
S 0.195 0.750 0.032
S 0.544 0.250 0.342
S 0.116 0.250 0.349
S 0.884 0.750 0.651
S 0.456 0.750 0.658
S 0.805 0.250 0.968
Tb 0.334 0.750 0.350
Tb 0.666 0.250 0.650
Tl 0.794 0.750 0.277
Tl 0.206 0.250 0.723

Output
raw total energy: -5.6820 eV/atom

Record 2
Entry from the Open Quantum Materials Database: a geometry-optimized TbTlFeS3 structure (PBE).

a = 10.487 Å, b = 7.440 Å, c = 7.440 Å
α = 149.05°, β = 90.00°, γ = 90.00°
Atoms (fractional coordinates):
Fe 0.250 0.528 0.472
Fe 0.750 0.472 0.528
S 0.250 0.938 0.062
S 0.073 0.622 0.378
S 0.427 0.622 0.378
S 0.573 0.378 0.622
S 0.927 0.378 0.622
S 0.750 0.062 0.938
Tb 0.000 0.000 0.000
Tb 0.500 0.000 0.000
Tl 0.750 0.752 0.248
Tl 0.250 0.248 0.752

Output
raw total energy: -5.6660 eV/atom

Record 3
Entry from the Open Quantum Materials Database: a geometry-optimized Fe4Tc2S structure (PBE).

a = 5.042 Å, b = 5.042 Å, c = 5.042 Å
α = 103.65°, β = 103.65°, γ = 121.88°
Atoms (fractional coordinates):
Fe 0.695 0.305 0.000
Fe 0.305 0.695 0.000
Fe 0.695 0.695 0.391
Fe 0.305 0.305 0.609
S 0.000 0.000 0.000
Tc 0.750 0.250 0.500
Tc 0.250 0.750 0.500

Output
raw total energy: -7.7381 eV/atom

Record 4
Entry from the Open Quantum Materials Database: a geometry-optimized Tl3Fe2S4 structure (PBE).

a = 7.403 Å, b = 10.617 Å, c = 11.296 Å
α = 90.00°, β = 90.00°, γ = 90.00°
Atoms (fractional coordinates):
Fe 0.536 0.627 0.032
Fe 0.536 0.873 0.032
Fe 0.036 0.627 0.468
Fe 0.036 0.873 0.468
Fe 0.964 0.127 0.532
Fe 0.964 0.373 0.532
Fe 0.464 0.127 0.968
Fe 0.464 0.373 0.968
S 0.230 0.250 0.027
S 0.635 0.052 0.118
S 0.635 0.448 0.118
S 0.385 0.750 0.166
S 0.885 0.750 0.334
S 0.135 0.052 0.382
S 0.135 0.448 0.382
S 0.730 0.250 0.473
S 0.270 0.750 0.527
S 0.865 0.552 0.618
S 0.865 0.948 0.618
S 0.115 0.250 0.666
S 0.615 0.250 0.834
S 0.365 0.552 0.882
S 0.365 0.948 0.882
S 0.770 0.750 0.973
Tl 0.047 0.576 0.138
Tl 0.047 0.924 0.138
Tl 0.908 0.250 0.226
Tl 0.408 0.250 0.274
Tl 0.547 0.576 0.362
Tl 0.547 0.924 0.362
Tl 0.453 0.076 0.638
Tl 0.453 0.424 0.638
Tl 0.592 0.750 0.726
Tl 0.092 0.750 0.774
Tl 0.953 0.076 0.862
Tl 0.953 0.424 0.862

Output
raw total energy: -4.8213 eV/atom

Record 5
Entry from the Open Quantum Materials Database: a geometry-optimized TlFe2S3 structure (PBE).

a = 7.732 Å, b = 3.423 Å, c = 8.972 Å
α = 90.00°, β = 111.89°, γ = 90.00°
Atoms (fractional coordinates):
Fe 0.028 0.250 0.111
Fe 0.034 0.750 0.338
Fe 0.966 0.250 0.662
Fe 0.972 0.750 0.889
S 0.847 0.750 0.070
S 0.234 0.250 0.351
S 0.859 0.250 0.387
S 0.141 0.750 0.613
S 0.766 0.750 0.649
S 0.153 0.250 0.930
Tl 0.511 0.750 0.230
Tl 0.489 0.250 0.770

Output
raw total energy: -5.6175 eV/atom

Record 6
Entry from the Open Quantum Materials Database: a geometry-optimized Tm2FeS4 structure (PBE).

a = 7.671 Å, b = 7.671 Å, c = 7.671 Å
α = 60.00°, β = 60.00°, γ = 60.00°
Atoms (fractional coordinates):
Fe 0.000 0.000 0.000
Fe 0.250 0.250 0.250
S 0.376 0.376 0.376
S 0.871 0.376 0.376
S 0.376 0.871 0.376
S 0.874 0.874 0.379
S 0.376 0.376 0.871
S 0.874 0.379 0.874
S 0.379 0.874 0.874
S 0.874 0.874 0.874
Tm 0.625 0.625 0.125
Tm 0.625 0.125 0.625
Tm 0.125 0.625 0.625
Tm 0.625 0.625 0.625

Output
raw total energy: -6.3132 eV/atom

Record 7
Entry from the Open Quantum Materials Database: a geometry-optimized U8FeS17 structure (PBE).

a = 7.721 Å, b = 7.721 Å, c = 10.213 Å
α = 99.46°, β = 99.46°, γ = 64.46°
Atoms (fractional coordinates):
Fe 0.000 0.000 0.000
S 0.684 0.055 0.024
S 0.055 0.684 0.024
S 0.522 0.522 0.169
S 0.057 0.057 0.222
S 0.300 0.300 0.242
S 0.786 0.786 0.279
S 0.819 0.434 0.464
S 0.434 0.819 0.464
S 0.000 0.000 0.500
S 0.566 0.181 0.536
S 0.181 0.566 0.536
S 0.214 0.214 0.721
S 0.700 0.700 0.758
S 0.943 0.943 0.778
S 0.478 0.478 0.831
S 0.945 0.316 0.976
S 0.316 0.945 0.976
U 0.682 0.682 0.018
U 0.699 0.181 0.296
U 0.181 0.699 0.296
U 0.203 0.203 0.453
U 0.797 0.797 0.547
U 0.819 0.301 0.704
U 0.301 0.819 0.704
U 0.318 0.318 0.982

Output
raw total energy: -7.8335 eV/atom

Record 8
Entry from the Open Quantum Materials Database: a geometry-optimized UFeS3 structure (PBE).

a = 3.669 Å, b = 5.647 Å, c = 8.464 Å
α = 90.00°, β = 90.00°, γ = 71.04°
Atoms (fractional coordinates):
Fe 0.000 0.000 0.000
Fe 0.000 0.000 0.500
S 0.369 0.262 0.043
S 0.079 0.843 0.250
S 0.369 0.262 0.457
S 0.631 0.738 0.543
S 0.921 0.157 0.750
S 0.631 0.738 0.957
U 0.768 0.464 0.250
U 0.232 0.536 0.750

Output
raw total energy: -7.3323 eV/atom

Record 9
Entry from the Open Quantum Materials Database: a geometry-optimized U2FeS5 structure (PBE).

a = 6.012 Å, b = 6.934 Å, c = 7.833 Å
α = 96.98°, β = 112.57°, γ = 90.00°
Atoms (fractional coordinates):
Fe 0.000 0.000 0.500
Fe 0.500 0.500 0.500
S 0.095 0.750 0.000
S 0.905 0.250 0.000
S 0.708 0.927 0.183
S 0.475 0.427 0.183
S 0.135 0.309 0.442
S 0.307 0.809 0.442
S 0.865 0.691 0.558
S 0.693 0.191 0.558
S 0.525 0.573 0.817
S 0.292 0.073 0.817
U 0.903 0.586 0.218
U 0.315 0.086 0.218
U 0.097 0.414 0.782
U 0.685 0.914 0.782

Output
raw total energy: -7.5489 eV/atom

Record 10
Entry from the Open Quantum Materials Database: a geometry-optimized Y6FeS2 structure (PBE).

a = 7.868 Å, b = 7.868 Å, c = 3.873 Å
α = 90.00°, β = 90.00°, γ = 120.00°
Atoms (fractional coordinates):
Fe 0.000 0.000 0.500
S 0.667 0.333 0.000
S 0.333 0.667 0.000
Y 0.754 0.000 0.000
Y 0.246 0.246 0.000
Y 0.000 0.754 0.000
Y 0.410 0.000 0.500
Y 0.000 0.410 0.500
Y 0.590 0.590 0.500

Output
raw total energy: -6.8397 eV/atom

Record 11
Entry from the Open Quantum Materials Database: a geometry-optimized FeSb2 structure (PBE).

a = 5.753 Å, b = 3.296 Å, c = 6.499 Å
α = 90.00°, β = 90.02°, γ = 90.00°
Atoms (fractional coordinates):
Fe 0.000 0.500 0.000
Fe 0.500 0.000 0.500
Sb 0.698 0.000 0.146
Sb 0.199 0.500 0.354
Sb 0.801 0.500 0.646
Sb 0.302 0.000 0.854

Output
raw total energy: -5.5509 eV/atom

Record 12
Entry from the Open Quantum Materials Database: a geometry-optimized Fe5Sb2 structure (PBE).

a = 7.157 Å, b = 7.157 Å, c = 6.019 Å
α = 114.69°, β = 114.69°, γ = 46.38°
Atoms (fractional coordinates):
Fe 0.751 0.249 0.000
Fe 0.249 0.751 0.000
Fe 0.872 0.872 0.123
Fe 0.987 0.487 0.239
Fe 0.487 0.987 0.239
Fe 0.626 0.626 0.380
Fe 0.374 0.374 0.620
Fe 0.513 0.013 0.761
Fe 0.013 0.513 0.761
Fe 0.128 0.128 0.877
Sb 0.389 0.389 0.176
Sb 0.109 0.109 0.398
Sb 0.891 0.891 0.602
Sb 0.611 0.611 0.824

Output
raw total energy: -7.0757 eV/atom